Run P
AgIrOs after structural relaxation. Source: the Alexandria database, functional GGA-PBE.

Calculated values
total magnetization	0.0	μB/cell
Fermi-level density of states	2.2	states/eV/f.u.

Cell and atoms, written as POSCAR:
```
AgIrOs
1.0
2.754 0.000 0.000
-1.377 2.385 0.000
0.000 0.000 7.024
Ag Ir Os
1 1 1
direct
0.000 0.000 0.000 Ag
0.333 0.667 0.350 Ir
0.667 0.333 0.652 Os
```



Run Q
AgIrOs after structural relaxation. Source: the Alexandria database, functional GGA-PBE.

Calculated values
total magnetization	0.0	μB/cell
Fermi-level density of states	3.2	states/eV/f.u.

Cell and atoms, written as POSCAR:
```
AgIrOs
1.0
2.759 0.000 0.000
0.000 3.820 0.000
0.000 0.000 9.050
Ag Ir Os
2 2 2
direct
0.000 0.000 0.000 Ag
0.500 0.500 0.500 Ag
0.000 0.000 0.311 Ir
0.500 0.500 0.811 Ir
0.000 0.000 0.689 Os
0.500 0.500 0.189 Os
```



Unit: kJ/mol of atoms. Relative energies: run P 0.0; run Q 18.5.



Run P
Ag2IrOs after structural relaxation. Source: the Alexandria database, functional GGA-PBE.

Calculated values
total magnetization	3.4	μB/cell
Fermi-level density of states	5.7	states/eV/f.u.

Cell and atoms, written as POSCAR:
```
Ag2IrOs
1.0
3.803 0.000 0.000
0.000 3.803 0.000
0.000 0.000 8.918
Ag Ir Os
4 2 2
direct
0.000 0.500 0.250 Ag
0.000 0.500 0.750 Ag
0.500 0.000 0.250 Ag
0.500 0.000 0.750 Ag
0.000 0.000 0.000 Ir
0.500 0.500 0.500 Ir
0.000 0.000 0.500 Os
0.500 0.500 0.000 Os
```



Run Q
Ag2IrOs after structural relaxation. Source: the Alexandria database, functional GGA-PBE.

Calculated values
total magnetization	0.4	μB/cell
Fermi-level density of states	3.2	states/eV/f.u.

Cell and atoms, written as POSCAR:
```
Ag2IrOs
1.0
2.746 0.000 0.000
0.000 4.709 0.000
0.000 0.000 4.984
Ag Ir Os
2 1 1
direct
0.000 0.000 0.000 Ag
0.500 0.500 0.000 Ag
0.000 0.500 0.500 Ir
0.500 0.000 0.500 Os
```



Run R
Ag2IrOs after structural relaxation. Source: the Alexandria database, functional GGA-PBE.

Calculated values
total magnetization	0.7	μB/cell
Fermi-level density of states	6.0	states/eV/f.u.

Cell and atoms, written as POSCAR:
```
Ag2IrOs
1.0
2.680 0.000 0.000
0.000 2.680 0.000
0.000 0.000 8.925
Ag Ir Os
2 1 1
direct
0.000 0.000 0.249 Ag
0.000 0.000 0.751 Ag
0.500 0.500 0.000 Ir
0.500 0.500 0.500 Os
```



Run S
Ag2IrOs after structural relaxation. Source: the Alexandria database, functional GGA-PBE.

Calculated values
total magnetization	0.7	μB/cell
Fermi-level density of states	4.2	states/eV/f.u.

Cell and atoms, written as POSCAR:
```
Ag2IrOs
1.0
2.752 0.000 0.000
-1.376 2.384 0.000
0.000 0.000 28.943
Ag Ir Os
6 3 3
direct
0.000 0.000 0.250 Ag
0.000 0.000 0.750 Ag
0.333 0.667 0.417 Ag
0.333 0.667 0.917 Ag
0.667 0.333 0.083 Ag
0.667 0.333 0.583 Ag
0.000 0.000 0.000 Ir
0.333 0.667 0.667 Ir
0.667 0.333 0.333 Ir
0.000 0.000 0.500 Os
0.333 0.667 0.167 Os
0.667 0.333 0.833 Os
```



Unit: kJ/mol of atoms. Relative energies: run P 24.8; run Q 5.8; run R 23.6; run S 0.0.



Run P
Ag2IrOs after structural relaxation. Source: the Alexandria database, functional GGA-PBE.

Calculated values
total magnetization	0.0	μB/cell
Fermi-level density of states	3.8	states/eV/f.u.

Cell and atoms, written as POSCAR:
```
Ag2IrOs
1.0
2.795 0.000 0.000
-1.397 2.420 0.000
0.000 0.000 28.300
Ag Ir Os
6 3 3
direct
0.000 0.000 0.000 Ag
0.000 0.000 0.246 Ag
0.333 0.667 0.667 Ag
0.333 0.667 0.912 Ag
0.667 0.333 0.333 Ag
0.667 0.333 0.579 Ag
0.000 0.000 0.753 Ir
0.333 0.667 0.420 Ir
0.667 0.333 0.086 Ir
0.000 0.000 0.493 Os
0.333 0.667 0.159 Os
0.667 0.333 0.826 Os
```



Run Q
Ag2IrOs after structural relaxation. Source: the Alexandria database, functional GGA-PBE.

Calculated values
total magnetization	0.0	μB/cell
Fermi-level density of states	5.2	states/eV/f.u.

Cell and atoms, written as POSCAR:
```
Ag2IrOs
1.0
3.762 0.000 0.000
0.000 3.762 0.000
0.000 0.000 4.552
Ag Ir Os
2 1 1
direct
0.000 0.500 0.000 Ag
0.500 0.000 0.000 Ag
0.000 0.000 0.500 Ir
0.500 0.500 0.500 Os
```



Run R
Ag2IrOs after structural relaxation. Source: the Alexandria database, functional GGA-PBE.

Calculated values
total magnetization	0.0	μB/cell
Fermi-level density of states	3.4	states/eV/f.u.

Cell and atoms, written as POSCAR:
```
Ag2IrOs
1.0
9.058 0.000 0.000
0.000 2.764 0.000
-0.732 0.000 5.149
Ag Ir Os
4 2 2
direct
0.000 0.000 0.000 Ag
0.247 0.000 0.788 Ag
0.500 0.500 0.000 Ag
0.747 0.500 0.788 Ag
0.493 0.000 0.473 Ir
0.993 0.500 0.473 Ir
0.252 0.500 0.315 Os
0.752 0.000 0.315 Os
```



Run S
Ag2IrOs after structural relaxation. Source: the Alexandria database, functional GGA-PBE.

Calculated values
total magnetization	0.0	μB/cell
Fermi-level density of states	4.9	states/eV/f.u.

Cell and atoms, written as POSCAR:
```
Ag2IrOs
1.0
5.326 0.000 0.000
0.000 8.963 0.000
0.000 0.000 2.687
Ag Ir Os
4 2 2
direct
0.250 0.250 0.000 Ag
0.250 0.750 0.000 Ag
0.750 0.250 0.000 Ag
0.750 0.750 0.000 Ag
0.000 0.000 0.500 Ir
0.500 0.500 0.500 Ir
0.000 0.500 0.500 Os
0.500 0.000 0.500 Os
```



Unit: kJ/mol of atoms. Relative energies: run P 0.0; run Q 47.9; run R 19.8; run S 45.9.



Run P
Ag2IrOs after structural relaxation. Source: the Alexandria database, functional GGA-PBE.

Calculated values
total magnetization	0.0	μB/cell
Fermi-level density of states	3.8	states/eV/f.u.

Cell and atoms, written as POSCAR:
```
Ag2IrOs
1.0
2.793 0.000 0.000
0.000 2.793 0.000
0.000 0.000 8.251
Ag Ir Os
2 1 1
direct
0.000 0.000 0.000 Ag
0.500 0.500 0.268 Ag
0.000 0.000 0.532 Ir
0.500 0.500 0.738 Os
```



Run Q
Ag2IrOs after structural relaxation. Source: the Alexandria database, functional GGA-PBE.

Calculated values
total magnetization	0.0	μB/cell
Fermi-level density of states	5.3	states/eV/f.u.

Cell and atoms, written as POSCAR:
```
Ag2IrOs
1.0
2.756 0.000 0.000
0.000 4.715 0.000
0.000 0.000 9.905
Ag Ir Os
4 2 2
direct
0.000 0.000 0.249 Ag
0.000 0.000 0.751 Ag
0.500 0.500 0.249 Ag
0.500 0.500 0.751 Ag
0.000 0.500 0.000 Ir
0.500 0.000 0.000 Ir
0.000 0.500 0.500 Os
0.500 0.000 0.500 Os
```



Unit: kJ/mol of atoms. Relative energies: run P 0.0; run Q 31.8.



Run P
Ag2IrOs after structural relaxation. Source: the Alexandria database, functional GGA-PBE.

Calculated values
total magnetization	0.0	μB/cell
Fermi-level density of states	3.3	states/eV/f.u.

Cell and atoms, written as POSCAR:
```
Ag2IrOs
1.0
2.787 0.000 0.000
0.000 4.850 0.000
0.000 0.000 9.786
Ag Ir Os
4 2 2
direct
0.000 0.000 0.000 Ag
0.000 0.500 0.230 Ag
0.500 0.000 0.730 Ag
0.500 0.500 0.500 Ag
0.000 0.500 0.758 Ir
0.500 0.000 0.258 Ir
0.000 0.000 0.471 Os
0.500 0.500 0.971 Os
```



Run Q
Ag2IrOs after structural relaxation. Source: the Alexandria database, functional GGA-PBE.

Calculated values
total magnetization	0.0	μB/cell
Fermi-level density of states	4.7	states/eV/f.u.

Cell and atoms, written as POSCAR:
```
Ag2IrOs
1.0
9.731 0.000 0.000
0.000 2.743 0.000
-0.766 0.000 4.735
Ag Ir Os
4 2 2
direct
0.249 0.000 0.249 Ag
0.251 0.500 0.751 Ag
0.749 0.500 0.249 Ag
0.751 0.000 0.751 Ag
0.000 0.000 0.500 Ir
0.500 0.500 0.500 Ir
0.000 0.500 0.000 Os
0.500 0.000 0.000 Os
```



Unit: kJ/mol of atoms. Relative energies: run P 10.5; run Q 0.0.



Run P
Ag2IrOs after structural relaxation. Source: the Alexandria database, functional GGA-PBE.

Calculated values
total magnetization	5.0	μB/cell
Fermi-level density of states	4.8	states/eV/f.u.

Cell and atoms, written as POSCAR:
```
Ag2IrOs
1.0
6.340 0.000 0.000
0.000 6.340 0.000
0.000 0.000 6.340
Ag Ir Os
8 4 4
direct
0.250 0.250 0.250 Ag
0.250 0.250 0.750 Ag
0.250 0.750 0.250 Ag
0.250 0.750 0.750 Ag
0.750 0.250 0.250 Ag
0.750 0.250 0.750 Ag
0.750 0.750 0.250 Ag
0.750 0.750 0.750 Ag
0.000 0.000 0.000 Ir
0.000 0.500 0.500 Ir
0.500 0.000 0.500 Ir
0.500 0.500 0.000 Ir
0.000 0.000 0.500 Os
0.000 0.500 0.000 Os
0.500 0.000 0.000 Os
0.500 0.500 0.500 Os
```



Run Q
Ag2IrOs after structural relaxation. Source: the Alexandria database, functional GGA-PBE.

Calculated values
total magnetization	0.0	μB/cell
Fermi-level density of states	3.7	states/eV/f.u.

Cell and atoms, written as POSCAR:
```
Ag2IrOs
1.0
2.774 0.000 0.000
0.000 4.769 0.000
0.000 0.000 9.828
Ag Ir Os
4 2 2
direct
0.000 0.000 0.000 Ag
0.000 0.500 0.260 Ag
0.500 0.000 0.260 Ag
0.500 0.500 0.000 Ag
0.000 0.000 0.517 Ir
0.500 0.500 0.517 Ir
0.000 0.500 0.742 Os
0.500 0.000 0.742 Os
```



Unit: kJ/mol of atoms. Relative energies: run P 56.7; run Q 0.0.



Run P
AgPIr after structural relaxation. Source: the Alexandria database, functional GGA-PBE.

Calculated values
total magnetization	0.0	μB/cell
Fermi-level density of states	1.1	states/eV/f.u.

Cell and atoms, written as POSCAR:
```
AgPIr
1.0
2.839 0.000 0.000
0.000 4.878 0.000
0.000 0.000 14.130
Ag P Ir
4 4 4
direct
0.000 0.000 0.000 Ag
0.000 0.500 0.500 Ag
0.500 0.000 0.500 Ag
0.500 0.500 0.000 Ag
0.000 0.000 0.308 P
0.000 0.500 0.808 P
0.500 0.000 0.808 P
0.500 0.500 0.308 P
0.000 0.000 0.677 Ir
0.000 0.500 0.177 Ir
0.500 0.000 0.177 Ir
0.500 0.500 0.677 Ir
```



Run Q
AgPIr after structural relaxation. Source: the Alexandria database, functional GGA-PBE.

Calculated values
total magnetization	0.0	μB/cell
Fermi-level density of states	1.1	states/eV/f.u.

Cell and atoms, written as POSCAR:
```
AgPIr
1.0
3.930 0.000 0.000
-1.965 3.403 0.000
0.000 0.000 3.737
Ag P Ir
1 1 1
direct
0.000 0.000 0.000 Ag
0.333 0.667 0.500 P
0.667 0.333 0.500 Ir
```



Unit: kJ/mol of atoms. Relative energies: run P 26.4; run Q 0.0.



Run P
AgPIr after structural relaxation. Source: the Alexandria database, functional GGA-PBE.

Calculated values
total magnetization	0.0	μB/cell
Fermi-level density of states	1.1	states/eV/f.u.

Cell and atoms, written as POSCAR:
```
AgPIr
1.0
11.590 0.000 0.000
0.000 2.901 0.000
-0.028 0.000 2.942
Ag P Ir
2 2 2
direct
0.000 0.000 0.000 Ag
0.500 0.500 0.000 Ag
0.293 0.000 0.007 P
0.793 0.500 0.007 P
0.188 0.500 0.504 Ir
0.688 0.000 0.504 Ir
```



Run Q
AgPIr after structural relaxation. Source: the Alexandria database, functional GGA-PBE.

Calculated values
total magnetization	0.0	μB/cell
Fermi-level density of states	2.4	states/eV/f.u.

Cell and atoms, written as POSCAR:
```
AgPIr
1.0
2.967 0.000 0.000
-1.483 2.569 0.000
0.000 0.000 6.466
Ag P Ir
1 1 1
direct
0.000 0.000 0.000 Ag
0.333 0.667 0.615 P
0.667 0.333 0.370 Ir
```



Run R
AgPIr after structural relaxation. Source: the Alexandria database, functional GGA-PBE.

Calculated values
total magnetization	0.0	μB/cell
Fermi-level density of states	3.0	states/eV/f.u.

Cell and atoms, written as POSCAR:
```
AgPIr
1.0
5.795 0.000 0.000
0.000 5.795 0.000
0.000 0.000 5.795
Ag P Ir
4 4 4
direct
0.000 0.000 0.000 Ag
0.000 0.500 0.500 Ag
0.500 0.000 0.500 Ag
0.500 0.500 0.000 Ag
0.250 0.250 0.750 P
0.250 0.750 0.250 P
0.750 0.250 0.250 P
0.750 0.750 0.750 P
0.000 0.000 0.500 Ir
0.000 0.500 0.000 Ir
0.500 0.000 0.000 Ir
0.500 0.500 0.500 Ir
```



Unit: kJ/mol of atoms. Relative energies: run P 0.0; run Q 10.2; run R 24.6.



Run P
AgPIr3 after structural relaxation. Source: the Alexandria database, functional GGA-PBE.

Calculated values
total magnetization	0.0	μB/cell
Fermi-level density of states	4.5	states/eV/f.u.

Cell and atoms, written as POSCAR:
```
AgPIr3
1.0
4.409 0.000 0.000
0.000 4.409 0.000
0.000 0.000 4.409
Ag P Ir
1 1 3
direct
0.000 0.000 0.000 Ag
0.500 0.500 0.500 P
0.000 0.500 0.500 Ir
0.500 0.000 0.500 Ir
0.500 0.500 0.000 Ir
```



Run Q
AgPIr3 after structural relaxation. Source: the Alexandria database, functional GGA-PBE.

Calculated values
total magnetization	1.8	μB/cell
Fermi-level density of states	10.0	states/eV/f.u.

Cell and atoms, written as POSCAR:
```
AgPIr3
1.0
4.783 0.000 0.000
0.000 4.783 0.000
0.000 0.000 4.783
Ag P Ir
1 1 3
direct
0.000 0.000 0.000 Ag
0.500 0.500 0.500 P
0.000 0.000 0.500 Ir
0.000 0.500 0.000 Ir
0.500 0.000 0.000 Ir
```



Unit: kJ/mol of atoms. Relative energies: run P 0.0; run Q 206.5.



Run P
Ag2PIr2 after structural relaxation. Source: the Alexandria database, functional GGA-PBE.

Calculated values
total magnetization	0.0	μB/cell
Fermi-level density of states	6.0	states/eV/f.u.

Cell and atoms, written as POSCAR:
```
Ag2PIr2
1.0
8.023 0.000 0.000
0.000 8.023 0.000
0.000 0.000 2.730
Ag P Ir
4 2 4
direct
0.186 0.314 0.000 Ag
0.314 0.814 0.000 Ag
0.686 0.186 0.000 Ag
0.814 0.686 0.000 Ag
0.000 0.000 0.000 P
0.500 0.500 0.000 P
0.111 0.611 0.500 Ir
0.389 0.111 0.500 Ir
0.611 0.889 0.500 Ir
0.889 0.389 0.500 Ir
```



Run Q
Ag2PIr2 after structural relaxation. Source: the Alexandria database, functional GGA-PBE.

Calculated values
total magnetization	0.0	μB/cell
Fermi-level density of states	1.3	states/eV/f.u.

Cell and atoms, written as POSCAR:
```
Ag2PIr2
1.0
5.931 0.000 0.000
0.000 5.931 0.000
0.000 0.000 4.803
Ag P Ir
4 2 4
direct
0.166 0.334 0.000 Ag
0.334 0.834 0.000 Ag
0.666 0.166 0.000 Ag
0.834 0.666 0.000 Ag
0.000 0.000 0.500 P
0.500 0.500 0.500 P
0.152 0.652 0.500 Ir
0.348 0.152 0.500 Ir
0.652 0.848 0.500 Ir
0.848 0.348 0.500 Ir
```



Run R
Ag2PIr2 after structural relaxation. Source: the Alexandria database, functional GGA-PBE.

Calculated values
total magnetization	0.0	μB/cell
Fermi-level density of states	5.5	states/eV/f.u.

Cell and atoms, written as POSCAR:
```
Ag2PIr2
1.0
3.497 0.000 0.000
0.000 3.497 0.000
0.000 0.000 15.176
Ag P Ir
4 2 4
direct
0.000 0.000 0.094 Ag
0.000 0.000 0.906 Ag
0.500 0.500 0.406 Ag
0.500 0.500 0.594 Ag
0.000 0.000 0.500 P
0.500 0.500 0.000 P
0.000 0.500 0.250 Ir
0.000 0.500 0.750 Ir
0.500 0.000 0.250 Ir
0.500 0.000 0.750 Ir
```



Unit: kJ/mol of atoms. Relative energies: run P 88.7; run Q 0.0; run R 79.2.



Run P
Ag3PIr after structural relaxation. Source: the Alexandria database, functional GGA-PBE.

Calculated values
total magnetization	2.2	μB/cell
Fermi-level density of states	6.2	states/eV/f.u.

Cell and atoms, written as POSCAR:
```
Ag3PIr
1.0
5.042 0.000 0.000
0.000 5.042 0.000
0.000 0.000 5.042
Ag P Ir
3 1 1
direct
0.000 0.000 0.500 Ag
0.000 0.500 0.000 Ag
0.500 0.000 0.000 Ag
0.500 0.500 0.500 P
0.000 0.000 0.000 Ir
```



Run Q
Ag3PIr after structural relaxation. Source: the Alexandria database, functional GGA-PBE.

Calculated values
total magnetization	0.4	μB/cell
Fermi-level density of states	6.1	states/eV/f.u.

Cell and atoms, written as POSCAR:
```
Ag3PIr
1.0
4.604 0.000 0.000
0.000 4.604 0.000
0.000 0.000 4.604
Ag P Ir
3 1 1
direct
0.000 0.000 0.500 Ag
0.000 0.500 0.000 Ag
0.500 0.000 0.000 Ag
0.000 0.000 0.000 P
0.500 0.500 0.500 Ir
```



Unit: kJ/mol of atoms. Relative energies: run P 55.6; run Q 0.0.